Entry 1:
The following is a GGA-PBE calculation of Cd5In2Pd12 after structural relaxation, from the Alexandria database.

Results
N(E_F) = 0.4693 states/eV/atom
Total magnetic moment = 0.000 Bohr magnetons per cell
SG = C2/m, No. 12
Energy of formation = -0.30 eV/atom

a = 7.6507 Å, b = 7.7010 Å, c = 6.5735 Å
α = 90.44°, β = 90.00°, γ = 119.78°
Last column: nearest neighbours and their distance in Å.
Fractional positions:
Cd (0.2402, 0.4804, 0.5751)  10 Pd 2.80-2.94, 1 Cd 3.00
Cd (0.2989, 0.5977, 0.0160)  8 Pd 2.77-2.98, 1 Cd 3.00
Cd (0.0000, 0.0000, 0.5000)  10 Pd 2.89-3.09
Cd (0.7011, 0.4023, 0.9840)  8 Pd 2.77-2.98, 1 Cd 3.00
Cd (0.7598, 0.5196, 0.4249)  10 Pd 2.80-2.94, 1 Cd 3.00
In (0.7137, 0.0000, 0.0000)  8 Pd 2.67-2.81
In (0.2863, 0.0000, 0.0000)  8 Pd 2.67-2.81
Pd (0.8994, 0.7988, 0.1098)  2 In 2.67, 3 Cd 2.77-2.89, 4 Pd 2.81-2.88
Pd (0.0304, 0.6786, 0.7524)  1 In 2.78, 5 Pd 2.80-3.00, 5 Cd 2.80-3.09
Pd (0.6483, 0.6786, 0.7524)  1 In 2.78, 5 Pd 2.80-3.00, 5 Cd 2.80-3.09
Pd (0.1833, 0.7604, 0.3486)  6 Pd 2.78-3.01, 1 In 2.81, 4 Cd 2.84-2.98
Pd (0.5771, 0.7604, 0.3486)  6 Pd 2.78-3.01, 1 In 2.81, 4 Cd 2.84-2.98
Pd (0.4459, 0.8919, 0.6844)  2 In 2.73, 7 Pd 2.78-2.83, 2 Cd 2.84-2.95
Pd (0.5541, 0.1081, 0.3156)  2 In 2.73, 7 Pd 2.78-2.83, 2 Cd 2.84-2.95
Pd (0.8167, 0.2396, 0.6514)  6 Pd 2.78-3.01, 1 In 2.81, 4 Cd 2.84-2.98
Pd (0.4229, 0.2396, 0.6514)  6 Pd 2.78-3.01, 1 In 2.81, 4 Cd 2.84-2.98
Pd (0.9696, 0.3214, 0.2476)  1 In 2.78, 5 Pd 2.80-3.00, 5 Cd 2.80-3.09
Pd (0.3517, 0.3214, 0.2476)  1 In 2.78, 5 Pd 2.80-3.00, 5 Cd 2.80-3.09
Pd (0.1006, 0.2012, 0.8902)  2 In 2.67, 3 Cd 2.77-2.89, 4 Pd 2.81-2.88

Entry 2:
The following is a GGA-PBE calculation of LaTeH3 after structural relaxation, from the Alexandria database.

Results
N(E_F) = 0.4187 states/eV/atom
Total magnetic moment = 0.000 Bohr magnetons per cell
SG = Pm-3m, No. 221
Distance to the lowest polymorph of the same formula = 0.00 eV/f.u.

a = 4.3393 Å, b = 4.3393 Å, c = 4.3393 Å
α = 90.00°, β = 90.00°, γ = 90.00°
Last column: nearest neighbours and their distance in Å.
Fractional positions:
H (0.0000, 0.5000, 0.0000)  2 La 2.17
H (0.0000, 0.0000, 0.5000)  2 La 2.17
H (0.5000, 0.0000, 0.0000)  2 La 2.17
Te (0.5000, 0.5000, 0.5000)  12 H 3.07
La (0.0000, 0.0000, 0.0000)  6 H 2.17

Entry 3:
The following is a GGA-PBE calculation of ZrTlRe after structural relaxation, from the Alexandria database.

Results
N(E_F) = 0.6821 states/eV/atom
Total magnetic moment = 0.000 Bohr magnetons per cell
SG = P3m1, No. 156
Energy of formation = 0.41 eV/atom
Distance to the lowest polymorph of the same formula = 0.60 eV/f.u.

a = 3.2594 Å, b = 3.2594 Å, c = 6.8846 Å
α = 90.00°, β = 90.00°, γ = 120.00°
Last column: nearest neighbours and their distance in Å.
Fractional positions:
Re (0.0000, 0.0000, 0.9787)  3 Zr 2.68
Tl (0.6667, 0.3333, 0.3195)  3 Re 3.01, 3 Zr 3.24, 6 Tl 3.26
Zr (0.3333, 0.6667, 0.7018)  3 Re 2.68

Entry 4:
The following is a GGA-PBE calculation of Li6ZnAg8 after structural relaxation, from the Alexandria database.

Results
N(E_F) = 0.1894 states/eV/atom
Total magnetic moment = 0.000 Bohr magnetons per cell
SG = P-31m, No. 162
Energy of formation = -0.09 eV/atom
Distance to the lowest polymorph of the same formula = 0.00 eV/f.u.

a = 5.6160 Å, b = 7.4495 Å, c = 7.4495 Å
α = 120.00°, β = 90.00°, γ = 90.00°
Last column: nearest neighbours and their distance in Å.
Fractional positions:
Li (0.6805, 0.6192, 0.9995)  7 Ag 2.65-2.94, 1 Li 2.70
Li (0.6805, 0.0005, 0.6197)  7 Ag 2.65-2.94, 1 Li 2.70
Li (0.6805, 0.3803, 0.3808)  7 Ag 2.65-2.94, 1 Li 2.70
Li (0.3195, 0.3808, 0.0005)  7 Ag 2.65-2.94, 1 Li 2.70
Li (0.3195, 0.9995, 0.3803)  7 Ag 2.65-2.94, 1 Li 2.70
Li (0.3195, 0.6197, 0.6192)  7 Ag 2.65-2.94, 1 Li 2.70
Zn (0.5000, 0.0000, 0.0000)  6 Ag 2.70, 6 Li 3.01
Ag (0.8207, 0.9998, 0.2707)  5 Li 2.65-2.93, 1 Zn 2.70, 4 Ag 2.85-2.93
Ag (0.8207, 0.7293, 0.7291)  5 Li 2.65-2.93, 1 Zn 2.70, 4 Ag 2.85-2.93
Ag (0.8207, 0.2709, 0.0002)  5 Li 2.65-2.93, 1 Zn 2.70, 4 Ag 2.85-2.93
Ag (0.1793, 0.0002, 0.7293)  5 Li 2.65-2.93, 1 Zn 2.70, 4 Ag 2.85-2.93
Ag (0.1793, 0.2707, 0.2709)  5 Li 2.65-2.93, 1 Zn 2.70, 4 Ag 2.85-2.93
Ag (0.1793, 0.7291, 0.9998)  5 Li 2.65-2.93, 1 Zn 2.70, 4 Ag 2.85-2.93
Ag (0.0004, 0.3333, 0.6667)  6 Ag 2.92-2.93, 6 Li 2.94
Ag (0.9996, 0.6667, 0.3333)  6 Ag 2.92-2.93, 6 Li 2.94

Entry 5:
The following is a GGA-PBE calculation of AcBiSe2O after structural relaxation, from the Alexandria database.

Results
Total magnetic moment = 0.000 Bohr magnetons per cell
SG = P4/nmm, No. 129
Formation energy without anion corrections = -1.721 eV per atom

a = 4.2266 Å, b = 4.2266 Å, c = 15.0372 Å
α = 90.00°, β = 90.00°, γ = 90.00°
Last column: nearest neighbours and their distance in Å.
Fractional positions:
Ac (0.5000, 0.0000, 0.5864)  4 O 2.48
Ac (0.0000, 0.5000, 0.4136)  4 O 2.48
Bi (0.5000, 0.0000, 0.1292)  1 Se 2.66
Bi (0.0000, 0.5000, 0.8708)  1 Se 2.66
Se (0.0000, 0.5000, 0.6937)  1 Bi 2.66
Se (0.0000, 0.5000, 0.0994)  4 Bi 3.02
Se (0.5000, 0.0000, 0.9006)  4 Bi 3.02
Se (0.5000, 0.0000, 0.3063)  1 Bi 2.66
O (0.0000, 0.0000, 0.5000)  4 Ac 2.48
O (0.5000, 0.5000, 0.5000)  4 Ac 2.48

Entry 6:
The following is a GGA-PBE calculation of ZnFeRu2 after structural relaxation, from the Alexandria database.

Results
N(E_F) = 1.0206 states/eV/atom
Total magnetic moment = 3.961 Bohr magnetons per cell
SG = I-42d, No. 122
Energy of formation = 0.59 eV/atom

a = 6.9329 Å, b = 6.9329 Å, c = 5.4946 Å
α = 50.89°, β = 50.89°, γ = 90.00°
Last column: nearest neighbours and their distance in Å.
Fractional positions:
Ru (0.5752, 0.1250, 0.2500)  2 Fe 2.31, 2 Ru 2.58
Ru (0.1748, 0.6250, 0.2500)  2 Fe 2.31, 2 Ru 2.58
Ru (0.3750, 0.4248, 0.7500)  2 Fe 2.31, 2 Ru 2.58
Ru (0.8750, 0.8252, 0.7500)  2 Fe 2.31, 2 Ru 2.58
Zn (0.0000, 0.0000, 0.0000)  2 Fe 2.48, 4 Ru 2.78
Zn (0.7500, 0.2500, 0.5000)  2 Fe 2.48, 4 Ru 2.78
Fe (0.5000, 0.5000, 0.0000)  4 Ru 2.31, 2 Zn 2.48
Fe (0.2500, 0.7500, 0.5000)  4 Ru 2.31, 2 Zn 2.48

Entry 7:
The following is a GGA-PBE calculation of FeAgIr2 after structural relaxation, from the Alexandria database.

Results
N(E_F) = 1.2887 states/eV/atom
Total magnetic moment = 2.992 Bohr magnetons per cell
SG = I4/mmm, No. 139
Energy of formation = 0.35 eV/atom
Distance to the lowest polymorph of the same formula = 0.89 eV/f.u.

a = 4.7501 Å, b = 4.7501 Å, c = 4.7501 Å
α = 131.59°, β = 131.59°, γ = 70.88°
Last column: nearest neighbours and their distance in Å.
Fractional positions:
Ag (0.2500, 0.7500, 0.5000)  8 Ir 2.75, 4 Fe 2.75
Fe (0.7500, 0.2500, 0.5000)  8 Ir 2.75, 4 Ag 2.75
Ir (0.0000, 0.0000, 0.0000)  4 Fe 2.75, 4 Ag 2.75, 4 Ir 2.75
Ir (0.5000, 0.5000, 0.0000)  4 Fe 2.75, 4 Ag 2.75, 4 Ir 2.75

Entry 8:
The following is a GGA-PBE calculation of RbSeBr3 after structural relaxation, from the Alexandria database.

Results
N(E_F) = 0.0000 states/eV/atom
Total magnetic moment = 0.000 Bohr magnetons per cell
SG = P1, No. 1
Formation energy without anion corrections = -0.736 eV per atom

a = 6.4427 Å, b = 7.9746 Å, c = 8.9288 Å
α = 69.04°, β = 97.83°, γ = 105.60°
Last column: nearest neighbours and their distance in Å.
Fractional positions:
Rb (0.4289, 0.8029, 0.8329)  6 Br 3.43-3.80
Rb (0.7103, 0.2404, 0.2814)  5 Br 3.44-3.68
Br (0.3020, 0.3290, 0.9954)  1 Br 2.59
Br (0.5996, 0.6771, 0.3898)  1 Se 2.45
Br (0.9536, 0.6894, 0.0408)  1 Se 2.69
Br (0.5661, 0.2730, 0.8345)  2 Br 2.59
Br (0.8305, 0.2104, 0.6788)  1 Br 2.59
Br (0.1773, 0.0436, 0.4588)  1 Se 2.67
Se (0.2220, 0.5798, 0.4618)  1 Se 2.29, 1 Br 2.45
Se (0.0873, 0.8190, 0.2856)  1 Se 2.29

Entry 9:
The following is a GGA-PBE calculation of La2CuPd2 after structural relaxation, from the Alexandria database.

Results
N(E_F) = 0.4882 states/eV/atom
Total magnetic moment = 0.000 Bohr magnetons per cell
SG = I4/mmm, No. 139
Energy of formation = -0.39 eV/atom
Distance to the lowest polymorph of the same formula = 1.25 eV/f.u.

a = 3.9347 Å, b = 3.9347 Å, c = 8.3081 Å
α = 76.30°, β = 76.30°, γ = 90.00°
Last column: nearest neighbours and their distance in Å.
Fractional positions:
Cu (0.0000, 0.0000, 0.0000)  8 La 3.25
Pd (0.7500, 0.2500, 0.5000)  4 Pd 2.78, 4 La 2.98
Pd (0.2500, 0.7500, 0.5000)  4 Pd 2.78, 4 La 2.98
La (0.3925, 0.3925, 0.2149)  4 Pd 2.98, 4 Cu 3.25
La (0.6075, 0.6075, 0.7851)  4 Pd 2.98, 4 Cu 3.25

Entry 10:
The following is a GGA-PBE calculation of LiVCoRh after structural relaxation, from the Alexandria database.

Results
N(E_F) = 0.4937 states/eV/atom
Total magnetic moment = 0.000 Bohr magnetons per cell
SG = F-43m, No. 216
Energy of formation = -0.21 eV/atom

a = 4.0828 Å, b = 4.0828 Å, c = 4.0828 Å
α = 60.00°, β = 60.00°, γ = 60.00°
Last column: nearest neighbours and their distance in Å.
Fractional positions:
Co (0.7500, 0.7500, 0.7500)  4 Li 2.50, 4 V 2.50
Li (0.0000, 0.0000, 0.0000)  4 Co 2.50, 4 Rh 2.50
Rh (0.2500, 0.2500, 0.2500)  4 Li 2.50, 4 V 2.50
V (0.5000, 0.5000, 0.5000)  4 Co 2.50, 4 Rh 2.50